No. 1
DFT (PBE) results for an optimized crystal structure of LiDyThOs.

The structure in POSCAR format:
```
LiDyThOs
1.0
5.002 0.000 0.000
2.501 4.332 0.000
2.501 1.444 4.084
Li Os Th Dy
1 1 1 1
Direct
0.250 0.250 0.250
0.750 0.750 0.750
0.500 0.500 0.500
0.000 0.000 0.000
```

The energy relative to the elements is -0.20 eV per atom.



No. 2
DFT (PBE) results for an optimized crystal structure of SrCaMnCl6.

The structure in POSCAR format:
```
SrCaMnCl6
1.0
6.898 0.000 0.000
-3.449 5.974 0.000
0.000 0.000 12.068
Sr Ca Mn Cl
2 2 2 12
Direct
0.333 0.667 0.250
0.667 0.333 0.750
0.000 0.000 0.000
0.000 0.000 0.500
0.667 0.333 0.250
0.333 0.667 0.750
0.683 0.644 0.127
0.961 0.317 0.127
0.317 0.961 0.627
0.039 0.683 0.873
0.356 0.317 0.373
0.961 0.644 0.373
0.644 0.961 0.873
0.683 0.039 0.373
0.039 0.356 0.627
0.356 0.039 0.127
0.644 0.683 0.627
0.317 0.356 0.873
```

The energy relative to the elements, uncorrected is -1.951 eV per atom.



No. 3
DFT (PBE) results for an optimized crystal structure of CoTcCl2.

The structure in POSCAR format:
```
CoTcCl2
1.0
5.361 0.000 0.000
0.000 5.361 0.000
2.680 2.680 5.037
Co Tc Cl
2 2 4
Direct
0.500 0.500 0.000
0.250 0.750 0.500
0.000 0.000 0.000
0.750 0.250 0.500
0.606 0.125 0.250
0.144 0.625 0.250
0.375 0.394 0.750
0.875 0.856 0.750
```

The polymorph energy (0 for the lowest one) is 59.1 kJ per mole of atoms. The energy relative to the elements, uncorrected is 0.596 eV per atom.



No. 4
DFT (PBE) results for an optimized crystal structure of La2ReC.

The structure in POSCAR format:
```
La2ReC
1.0
-3.405 -6.465 0.996
6.477 -3.489 -0.503
1.957 -4.681 3.606
Re C La
2 2 4
Direct
0.000 0.000 0.000
0.750 0.250 0.500
0.500 0.500 0.000
0.250 0.750 0.500
0.575 0.125 0.250
0.175 0.625 0.250
0.375 0.425 0.750
0.875 0.825 0.750
```

The energy relative to the elements is 0.99 eV per atom.



No. 5
DFT (PBE) results for an optimized crystal structure of KSr2Te.

The structure in POSCAR format:
```
KSr2Te
1.0
7.067 0.106 0.000
2.942 6.427 0.000
-5.005 -3.267 3.774
K Sr Te
1 2 1
Direct
0.750 0.250 0.500
0.000 0.000 0.000
0.500 0.500 0.000
0.250 0.750 0.500
```

The energy relative to the elements, uncorrected is -0.421 eV per atom.



No. 6
DFT (PBE) results for an optimized crystal structure of Cr2ReRh.

The structure in POSCAR format:
```
Cr2ReRh
1.0
4.579 -0.008 0.000
-1.414 4.355 0.000
0.000 0.000 2.663
Cr Re Rh
2 1 1
Direct
0.000 0.000 0.000
0.500 0.500 0.000
0.500 0.000 0.500
0.000 0.500 0.500
```

The energy relative to the elements is 0.07 eV per atom.